First-principles (PBE with a Hubbard U) data for a geometry-optimized NiHgF2 structure, as listed in Alexandria via LeMat-Bulk.

POSCAR file:
```
NiHgF2
1.0
-0.4862 -4.0227 7.7845
1.4604 -5.9848 6.2503
2.6103 -3.3987 7.6585
Ni Hg F
1 1 2
direct
0.5000 0.5000 0.5000 Ni
0.0000 0.0000 0.0000 Hg
0.8703 0.8703 0.8703 F
0.1297 0.1297 0.1297 F
```

Calculated values
Magnetization   0.50 μB per atom
Crystal system   trigonal
ΔE to the lowest computed polymorph   0.000 eV per atom
Raw total energy   -3.19 eV/atom